SrPPdO after structural relaxation. Source: OQMD, functional PBE.

Lattice parameters (Å, degrees): 3.4035 7.6235 5.6126 90.00 90.00 90.00
Last column: nearest neighbours and their distance in Å.
Atoms (fractional coordinates):
Sr1 0.0000 0.1478 0.0000  4 O 2.47-2.49
Sr2 0.0000 0.8522 0.5000  4 O 2.47-2.49
P1 0.0000 0.4406 0.4735  2 Pd 2.27
P2 0.0000 0.5594 0.9735  2 Pd 2.27
Pd1 0.5000 0.2436 0.4991  2 O 2.23-2.43, 2 P 2.27
Pd2 0.5000 0.7564 0.9991  2 O 2.23-2.43, 2 P 2.27
O1 0.5000 0.0117 0.7404  2 Pd 2.23-2.43, 4 Sr 2.47-2.49
O2 0.5000 0.9883 0.2404  2 Pd 2.23-2.43, 4 Sr 2.47-2.49

Computed properties:
Total energy = -5.4501 eV/atom
Excess energy over the best structure of this formula in the dataset = 130.4 meV/atom